i | RePbBr2 (PBE, relaxed); magnetic moment = 3.26 μB per cell; DOS(E_F) = 4.4 states/eV/f.u.; SG = F-43m
1.0
0.000 3.652 3.652
3.652 0.000 3.652
3.652 3.652 0.000
Re Pb Br
1 1 2
direct
0.000 0.000 0.000 Re
0.250 0.250 0.250 Pb
0.500 0.500 0.500 Br
0.750 0.750 0.750 Br



ii | RePbBr2 (PBE, relaxed); magnetic moment = 0.00 μB per cell; DOS(E_F) = 4.6 states/eV/f.u.; SG = P4/mmm
1.0
3.191 0.000 0.000
0.000 3.191 0.000
0.000 0.000 9.859
Re Pb Br
1 1 2
direct
0.000 0.000 0.000 Re
0.000 0.000 0.500 Pb
0.500 0.500 0.160 Br
0.500 0.500 0.840 Br



Of them, ii has the highest stability.



i | Re2Pb2Br (PBE, relaxed); magnetic moment = 0.00 μB per cell; DOS(E_F) = 3.2 states/eV/f.u.; SG = P4/mbm
1.0
9.279 0.000 0.000
0.000 9.279 0.000
0.000 0.000 2.908
Re Pb Br
4 4 2
direct
0.086 0.414 0.000 Re
0.414 0.914 0.000 Re
0.586 0.086 0.000 Re
0.914 0.586 0.000 Re
0.186 0.686 0.500 Pb
0.314 0.186 0.500 Pb
0.686 0.814 0.500 Pb
0.814 0.314 0.500 Pb
0.000 0.000 0.500 Br
0.500 0.500 0.500 Br



ii | Re2Pb2Br (PBE, relaxed); magnetic moment = 0.00 μB per cell; DOS(E_F) = 3.3 states/eV/f.u.; SG = I4/mmm
1.0
-1.802 1.802 9.600
1.802 -1.802 9.600
1.802 1.802 -9.600
Re Pb Br
2 2 1
direct
0.250 0.750 0.500 Re
0.750 0.250 0.500 Re
0.118 0.118 0.000 Pb
0.882 0.882 0.000 Pb
0.500 0.500 0.000 Br



Of them, ii has the highest stability.